--- w ---
Density functional theory data (PBE-GGA) for a relaxed structure of Ho2AsH.

a b c (Å): 3.9228 3.9228 6.3150
angles (deg): 90.00 90.00 120.00
With the nearest neighbours (Å) after each atom.
Space group P3m1 (No. 156)
Inequivalent atoms, fractional coordinates:
Ho: 0.0000 0.0000 0.0000 [1 per cell]  3 H 2.37
Ho: 0.3333 0.6667 0.5380 [1 per cell]  1 H 2.23
As: 0.6667 0.3333 0.2726 [1 per cell]  6 Ho 2.82-2.84
H: 0.3333 0.6667 0.8919 [1 per cell]  4 Ho 2.23-2.37

Results
density = 8.01 g/cm3
Fermi-level density of states = 1.76 states/eV/f.u.
volume = 84.2 Å³/cell

---

--- x ---
Density functional theory data (PBE-GGA) for a relaxed structure of Ho2AsH.

a b c (Å): 3.8656 3.8656 20.9419
angles (deg): 90.00 90.00 120.00
With the nearest neighbours (Å) after each atom.
Space group R3m (No. 160, hexagonal axes)
Inequivalent atoms, fractional coordinates:
Ho: 0.0000 0.0000 0.0000 [3 per cell]  3 H 2.27
Ho: 0.0000 0.0000 0.1711 [3 per cell]  3 As 2.75
As: 0.0000 0.0000 0.5814 [3 per cell]  6 Ho 2.75-2.86
H: 0.0000 0.0000 0.3535 [3 per cell]  3 Ho 2.27

Results
density = 7.46 g/cm3
Fermi-level density of states = 0.23 states/eV/f.u.
volume = 271.0 Å³/cell

---

Stability check: which of them is most stable? w.

---

--- w ---
Density functional theory data (PBE-GGA) for a relaxed structure of AsHI4.

a b c (Å): 24.6320 3.9100 14.4024
angles (deg): 90.00 123.03 90.00
With the nearest neighbours (Å) after each atom.
Space group C2/m (No. 12)
Inequivalent atoms, fractional coordinates:
As: 0.0731 0.0000 0.3901 [4 per cell]  4 I 2.60-2.90
H: 0.2349 0.0000 0.1146 [4 per cell]  2 I 2.02
I: 0.0436 0.0000 0.7936 [4 per cell]  1 As 2.64
I: 0.1125 0.5000 0.5648 [4 per cell]  2 As 2.90
I: 0.1527 0.0000 0.3248 [4 per cell]  1 As 2.60
I: 0.2124 0.5000 0.1085 [4 per cell]  2 H 2.02

Results
density = 3.33 g/cm3
Fermi-level density of states = 0.80 states/eV/f.u.
volume = 1162.9 Å³/cell

---

--- x ---
Density functional theory data (PBE-GGA) for a relaxed structure of AsHI4.

a b c (Å): 5.8650 9.6800 10.0011
angles (deg): 90.00 97.55 90.00
With the nearest neighbours (Å) after each atom.
Space group P2_1/m (No. 11)
Inequivalent atoms, fractional coordinates:
As: 0.0534 0.2500 0.0402 [2 per cell]  3 I 2.61-2.63
H: 0.1295 0.7500 0.5813 [2 per cell]  1 I 1.64
I: 0.0975 0.0459 0.2125 [4 per cell]  1 As 2.61
I: 0.3036 0.7500 0.4660 [2 per cell]  1 H 1.64
I: 0.4577 0.2500 0.9544 [2 per cell]  1 As 2.63

Results
density = 3.44 g/cm3
Fermi-level density of states = 0.00 states/eV/f.u.
volume = 562.9 Å³/cell

---

Stability check: which of them is most stable? x.

---

--- w ---
Density functional theory data (PBE-GGA) for a relaxed structure of AsH2I.

a b c (Å): 6.0249 6.0249 6.0249
angles (deg): 90.00 90.00 90.00
With the nearest neighbours (Å) after each atom.
Space group Fm-3m (No. 225)
Inequivalent atoms, fractional coordinates:
As: 0.0000 0.0000 0.0000 [4 per cell]  8 H 2.61
H: 0.2500 0.2500 0.2500 [8 per cell]  4 I 2.61, 4 As 2.61
I: 0.0000 0.0000 0.5000 [4 per cell]  8 H 2.61

Results
density = 6.19 g/cm3
Fermi-level density of states = 2.22 states/eV/f.u.
volume = 218.7 Å³/cell

---

--- x ---
Density functional theory data (PBE-GGA) for a relaxed structure of AsH2I.

a b c (Å): 5.8360 5.8360 8.0770
angles (deg): 90.00 90.00 90.00
With the nearest neighbours (Å) after each atom.
Space group I4_1/amd (No. 141, origin choice 2)
Inequivalent atoms, fractional coordinates:
As: 0.0000 0.2500 0.3750 [4 per cell]  4 H 1.77
H: 0.0000 0.0000 0.5000 [8 per cell]  2 As 1.77
I: 0.0000 0.2500 0.8750 [4 per cell]  12 H 3.36-3.42, 4 I 3.55, 4 As 3.55

Results
density = 4.92 g/cm3
Fermi-level density of states = 0.57 states/eV/f.u.
volume = 275.1 Å³/cell

---

Stability check: which of them is most stable? x.

---

--- w ---
Density functional theory data (PBE-GGA) for a relaxed structure of AsH2I3.

a b c (Å): 18.5438 3.6064 12.2408
angles (deg): 90.00 114.37 90.00
With the nearest neighbours (Å) after each atom.
Space group C2/m (No. 12)
Inequivalent atoms, fractional coordinates:
As: 0.1073 0.0000 0.4388 [4 per cell]  1 H 1.54
H: 0.0266 0.0000 0.3293 [4 per cell]  1 As 1.54
H: 0.1094 0.5000 0.4611 [4 per cell]  2 As 1.82
I: 0.0467 0.5000 0.9342 [4 per cell]  1 I 2.81
I: 0.1476 0.5000 0.7729 [4 per cell]  4 I 3.23-3.61, 3 H 3.45-3.58
I: 0.1917 0.0000 0.3172 [4 per cell]  1 As 2.57

Results
density = 4.08 g/cm3
Fermi-level density of states = 1.48 states/eV/f.u.
volume = 745.7 Å³/cell

---

--- x ---
Density functional theory data (PBE-GGA) for a relaxed structure of AsH2I3.

a b c (Å): 13.5967 19.0249 5.7914
angles (deg): 90.00 110.29 90.00
With the nearest neighbours (Å) after each atom.
Space group C2/c (No. 15)
Inequivalent atoms, fractional coordinates:
As: 0.0000 0.2486 0.2500 [4 per cell]  2 H 1.53
H: 0.0570 0.3029 0.4454 [8 per cell]  1 As 1.53
I: 0.0000 0.4828 0.2500 [4 per cell]  2 I 2.97
I: 0.1618 0.2218 0.0842 [8 per cell]  1 As 2.74

Results
density = 2.16 g/cm3
Fermi-level density of states = 1.34 states/eV/f.u.
volume = 1405.2 Å³/cell

---

Stability check: which of them is most stable? x.

---

--- w ---
Density functional theory data (PBE-GGA) for a relaxed structure of AsHI3.

a b c (Å): 5.0166 5.0166 5.0166
angles (deg): 90.00 90.00 90.00
With the nearest neighbours (Å) after each atom.
Space group Pm-3m (No. 221)
Inequivalent atoms, fractional coordinates:
As: 0.0000 0.0000 0.0000 [1 per cell]  12 I 3.55
H: 0.5000 0.5000 0.5000 [1 per cell]  6 I 2.51
I: 0.0000 0.5000 0.5000 [3 per cell]  2 H 2.51

Results
density = 6.01 g/cm3
Fermi-level density of states = 5.09 states/eV/f.u.
volume = 126.3 Å³/cell

---

--- x ---
Density functional theory data (PBE-GGA) for a relaxed structure of AsHI3.

a b c (Å): 3.7836 10.5083 9.1092
angles (deg): 90.00 90.50 90.00
With the nearest neighbours (Å) after each atom.
Space group P2_1/m (No. 11)
Inequivalent atoms, fractional coordinates:
As: 0.0008 0.2500 0.2609 [2 per cell]  1 H 1.55
H: 0.0024 0.7500 0.9090 [2 per cell]  1 As 1.55
I: 0.0005 0.7500 0.2369 [2 per cell]  1 H 2.99
I: 0.4991 0.5468 0.7412 [4 per cell]  2 As 2.85

Results
density = 4.19 g/cm3
Fermi-level density of states = 2.26 states/eV/f.u.
volume = 362.2 Å³/cell

---

--- y ---
Density functional theory data (PBE-GGA) for a relaxed structure of AsHI3.

a b c (Å): 5.7313 5.7313 5.7313
angles (deg): 90.00 90.00 90.00
With the nearest neighbours (Å) after each atom.
Space group Pm-3m (No. 221)
Inequivalent atoms, fractional coordinates:
As: 0.0000 0.0000 0.0000 [1 per cell]  6 I 2.87
H: 0.5000 0.5000 0.5000 [1 per cell]  12 I 4.05
I: 0.0000 0.0000 0.5000 [3 per cell]  2 As 2.87

Results
density = 4.03 g/cm3
Fermi-level density of states = 0.00 states/eV/f.u.
volume = 188.3 Å³/cell

---

Stability check: which of them is most stable? x.

---

--- w ---
Density functional theory data (PBE-GGA) for a relaxed structure of As3HI.

a b c (Å): 5.4848 5.4848 5.4848
angles (deg): 90.00 90.00 90.00
With the nearest neighbours (Å) after each atom.
Space group Pm-3m (No. 221)
Inequivalent atoms, fractional coordinates:
As: 0.0000 0.0000 0.5000 [3 per cell]  2 I 2.74
H: 0.5000 0.5000 0.5000 [1 per cell]  12 As 3.88
I: 0.0000 0.0000 0.0000 [1 per cell]  6 As 2.74

Results
density = 3.55 g/cm3
Fermi-level density of states = 5.34 states/eV/f.u.
volume = 165.0 Å³/cell

---

--- x ---
Density functional theory data (PBE-GGA) for a relaxed structure of As3HI.

a b c (Å): 4.5263 4.5263 4.5263
angles (deg): 90.00 90.00 90.00
With the nearest neighbours (Å) after each atom.
Space group Pm-3m (No. 221)
Inequivalent atoms, fractional coordinates:
As: 0.0000 0.0000 0.5000 [3 per cell]  2 H 2.26
H: 0.0000 0.0000 0.0000 [1 per cell]  6 As 2.26
I: 0.5000 0.5000 0.5000 [1 per cell]  12 As 3.20

Results
density = 6.32 g/cm3
Fermi-level density of states = 4.67 states/eV/f.u.
volume = 92.7 Å³/cell

---

Stability check: which of them is most stable? x.

---

--- w ---
Density functional theory data (PBE-GGA) for a relaxed structure of AsHI.

a b c (Å): 5.0039 5.5065 8.8695
angles (deg): 90.00 92.49 90.00
With the nearest neighbours (Å) after each atom.
Space group P2/m (No. 10)
Inequivalent atoms, fractional coordinates:
As: 0.0176 0.0000 0.3601 [2 per cell]  1 H 1.54
H: 0.2890 0.0000 0.6655 [2 per cell]  1 As 1.54
I: 0.0732 0.5000 0.2811 [2 per cell]  2 As 2.86

Results
density = 2.76 g/cm3
Fermi-level density of states = 1.05 states/eV/f.u.
volume = 244.2 Å³/cell

---

--- x ---
Density functional theory data (PBE-GGA) for a relaxed structure of AsHI.

a b c (Å): 2.9331 4.7487 12.0812
angles (deg): 90.68 96.11 107.64
With the nearest neighbours (Å) after each atom.
Space group P-1 (No. 2)
Inequivalent atoms, fractional coordinates:
As: 0.0094 0.1006 0.4023 [2 per cell]  1 H 1.54
H: 0.1685 0.2122 0.6542 [2 per cell]  1 As 1.54
I: 0.0085 0.3311 0.1523 [2 per cell]  2 I 2.93, 1 As 3.22

Results
density = 4.23 g/cm3
Fermi-level density of states = 0.96 states/eV/f.u.
volume = 159.3 Å³/cell

---

Stability check: which of them is most stable? w.

---

--- w ---
Density functional theory data (PBE-GGA) for a relaxed structure of Te2AsHI.

a b c (Å): 5.4977 5.4977 5.8300
angles (deg): 90.00 90.00 90.00
With the nearest neighbours (Å) after each atom.
Space group P4/mmm (No. 123)
Inequivalent atoms, fractional coordinates:
Te: 0.0000 0.5000 0.0000 [2 per cell]  2 As 2.75
As: 0.0000 0.0000 0.0000 [1 per cell]  4 Te 2.75, 2 I 2.92
H: 0.5000 0.5000 0.5000 [1 per cell]  4 I 3.89, 8 Te 4.01
I: 0.0000 0.0000 0.5000 [1 per cell]  2 As 2.92

Results
density = 4.32 g/cm3
Fermi-level density of states = 5.61 states/eV/f.u.
volume = 176.2 Å³/cell

---

--- x ---
Density functional theory data (PBE-GGA) for a relaxed structure of Te2AsHI.

a b c (Å): 4.3373 4.3373 7.9514
angles (deg): 90.00 90.00 90.00
With the nearest neighbours (Å) after each atom.
Space group P4/mmm (No. 123)
Inequivalent atoms, fractional coordinates:
Te: 0.0000 0.5000 0.0000 [2 per cell]  2 H 2.17
As: 0.0000 0.0000 0.5000 [1 per cell]  4 I 3.07
H: 0.5000 0.5000 0.0000 [1 per cell]  4 Te 2.17
I: 0.5000 0.5000 0.5000 [1 per cell]  4 As 3.07

Results
density = 5.08 g/cm3
Fermi-level density of states = 1.47 states/eV/f.u.
volume = 149.6 Å³/cell

---

Stability check: which of them is most stable? x.

---

--- w ---
Density functional theory data (PBE-GGA) for a relaxed structure of TeAsHI2.

a b c (Å): 5.6776 5.6776 3.8620
angles (deg): 90.00 90.00 90.00
With the nearest neighbours (Å) after each atom.
Space group P4/mmm (No. 123)
Inequivalent atoms, fractional coordinates:
Te: 0.0000 0.0000 0.0000 [1 per cell]  2 H 1.93
As: 0.5000 0.5000 0.0000 [1 per cell]  8 I 3.43
H: 0.0000 0.0000 0.5000 [1 per cell]  2 Te 1.93
I: 0.0000 0.5000 0.5000 [2 per cell]  2 H 2.84

Results
density = 6.10 g/cm3
Fermi-level density of states = 5.45 states/eV/f.u.
volume = 124.5 Å³/cell

---

--- x ---
Density functional theory data (PBE-GGA) for a relaxed structure of TeAsHI2.

a b c (Å): 5.8204 5.8204 5.3896
angles (deg): 90.00 90.00 90.00
With the nearest neighbours (Å) after each atom.
Space group P4/mmm (No. 123)
Inequivalent atoms, fractional coordinates:
Te: 0.0000 0.0000 0.0000 [1 per cell]  2 As 2.69
As: 0.0000 0.0000 0.5000 [1 per cell]  2 Te 2.69, 4 I 2.91
H: 0.5000 0.5000 0.0000 [1 per cell]  8 I 3.97, 4 Te 4.12
I: 0.0000 0.5000 0.5000 [2 per cell]  2 As 2.91

Results
density = 4.16 g/cm3
Fermi-level density of states = 4.89 states/eV/f.u.
volume = 182.6 Å³/cell

---

Stability check: which of them is most stable? x.

---

--- w ---
Density functional theory data (PBE-GGA) for a relaxed structure of As2HIr.

a b c (Å): 5.1709 5.1709 9.9846
angles (deg): 90.00 90.00 90.00
With the nearest neighbours (Å) after each atom.
Space group I-42d (No. 122)
Inequivalent atoms, fractional coordinates:
As: 0.1992 0.2500 0.1250 [8 per cell]  2 H 2.07
H: 0.0000 0.0000 0.0000 [4 per cell]  4 As 2.07
Ir: 0.0000 0.0000 0.5000 [4 per cell]  4 As 2.38

Results
density = 8.54 g/cm3
Fermi-level density of states = 1.24 states/eV/f.u.
volume = 267.0 Å³/cell

---

--- x ---
Density functional theory data (PBE-GGA) for a relaxed structure of As2HIr.

a b c (Å): 6.0226 6.0226 6.0226
angles (deg): 90.00 90.00 90.00
With the nearest neighbours (Å) after each atom.
Space group Fm-3m (No. 225)
Inequivalent atoms, fractional coordinates:
As: 0.2500 0.2500 0.2500 [8 per cell]  4 H 2.61, 4 Ir 2.61
H: 0.0000 0.0000 0.0000 [4 per cell]  8 As 2.61
Ir: 0.0000 0.0000 0.5000 [4 per cell]  8 As 2.61

Results
density = 10.43 g/cm3
Fermi-level density of states = 2.14 states/eV/f.u.
volume = 218.4 Å³/cell

---

Stability check: which of them is most stable? x.

---

--- w ---
Density functional theory data (PBE-GGA) for a relaxed structure of As3HIr.

a b c (Å): 4.1637 4.1637 4.1637
angles (deg): 90.00 90.00 90.00
With the nearest neighbours (Å) after each atom.
Space group Pm-3m (No. 221)
Inequivalent atoms, fractional coordinates:
As: 0.0000 0.0000 0.5000 [3 per cell]  2 H 2.08
H: 0.0000 0.0000 0.0000 [1 per cell]  6 As 2.08
Ir: 0.5000 0.5000 0.5000 [1 per cell]  12 As 2.94

Results
density = 9.62 g/cm3
Fermi-level density of states = 3.09 states/eV/f.u.
volume = 72.2 Å³/cell

---

--- x ---
Density functional theory data (PBE-GGA) for a relaxed structure of As3HIr.

a b c (Å): 4.8526 4.8526 4.8526
angles (deg): 90.00 90.00 90.00
With the nearest neighbours (Å) after each atom.
Space group Pm-3m (No. 221)
Inequivalent atoms, fractional coordinates:
As: 0.0000 0.0000 0.5000 [3 per cell]  2 Ir 2.43
H: 0.5000 0.5000 0.5000 [1 per cell]  12 As 3.43
Ir: 0.0000 0.0000 0.0000 [1 per cell]  6 As 2.43

Results
density = 6.07 g/cm3
Fermi-level density of states = 3.87 states/eV/f.u.
volume = 114.3 Å³/cell

---

Stability check: which of them is most stable? w.

---

--- w ---
Density functional theory data (PBE-GGA) for a relaxed structure of AsH3Ir.

a b c (Å): 3.5831 3.5831 3.5831
angles (deg): 90.00 90.00 90.00
With the nearest neighbours (Å) after each atom.
Space group Pm-3m (No. 221)
Inequivalent atoms, fractional coordinates:
As: 0.0000 0.0000 0.0000 [1 per cell]  6 H 1.79
H: 0.0000 0.0000 0.5000 [3 per cell]  2 As 1.79
Ir: 0.5000 0.5000 0.5000 [1 per cell]  12 H 2.53

Results
density = 9.75 g/cm3
Fermi-level density of states = 3.18 states/eV/f.u.
volume = 46.0 Å³/cell

---

--- x ---
Density functional theory data (PBE-GGA) for a relaxed structure of AsH3Ir.

a b c (Å): 3.5755 3.5755 3.5755
angles (deg): 90.00 90.00 90.00
With the nearest neighbours (Å) after each atom.
Space group Pm-3m (No. 221)
Inequivalent atoms, fractional coordinates:
As: 0.0000 0.0000 0.0000 [1 per cell]  12 H 2.53
H: 0.0000 0.5000 0.5000 [3 per cell]  2 Ir 1.79
Ir: 0.5000 0.5000 0.5000 [1 per cell]  6 H 1.79

Results
density = 9.81 g/cm3
Fermi-level density of states = 1.22 states/eV/f.u.
volume = 45.7 Å³/cell

---

Stability check: which of them is most stable? x.